This record from Alexandria via LeMat-Bulk describes a relaxed TlSiB2 crystal. The functional is PBE-GGA.

```
TlSiB2
1.0
-2.605 2.605 4.887
2.605 -2.605 4.887
2.605 2.605 -4.887
Tl Si B
2 2 4
Cartesian
0.000 0.000 0.000
0.000 2.605 2.443
2.605 0.000 2.443
0.000 0.000 4.887
1.302 -0.928 3.665
1.677 1.302 1.222
1.302 3.532 -1.222
0.928 1.302 6.109
```

## Properties
* formation energy (no corrections): 856 meV per atom
* E_tot: -4.43 eV/atom
* Fermi-level density of states: 0.4639 states/eV/atom
* theoretical density: 6.4 g/cm3